Here is SrLa2Sm after structural relaxation from Alexandria. Energies are from PBE.

a b c (Å): 8.590 8.590 8.590
angles (deg): 90.00 90.00 90.00
Fractional positions:
Sr1 0.000 0.000 0.000
Sr2 0.000 0.500 0.500
Sr3 0.500 0.000 0.500
Sr4 0.500 0.500 0.000
La1 0.250 0.250 0.250
La2 0.250 0.250 0.750
La3 0.250 0.750 0.250
La4 0.250 0.750 0.750
La5 0.750 0.250 0.250
La6 0.750 0.250 0.750
La7 0.750 0.750 0.250
La8 0.750 0.750 0.750
Sm1 0.000 0.000 0.500
Sm2 0.000 0.500 0.000
Sm3 0.500 0.000 0.000
Sm4 0.500 0.500 0.500

Computed properties:
- space group = Fm-3m, No. 225
- energy above the most stable polymorph in this dataset (eV/atom) = 0.117
- crystal system = cubic
- final energy (eV per formula unit) = -15.5
- formation energy (eV/f.u.) = 0.8